Entry from Alexandria: Ag3Te after structural relaxation (PBE).

formation energy (no corrections)	91	meV/atom
D(E_F)	1.2	states/eV/f.u.
distance to the lowest polymorph of the same formula	64	meV per atom

a b c (Å): 3.7592 3.7592 5.9216
angles (deg): 90.00 90.00 90.00
Space group P4/mmm (No. 123)
One atom of each set of equivalent atoms:
Ag1 0.0000 0.0000 0.0000 (multiplicity 1)
Ag2 0.5000 0.5000 0.2384 (multiplicity 2)
Te1 0.0000 0.0000 0.5000 (multiplicity 1)

---

Entry from Alexandria: PtAuF5 after structural relaxation (PBE).

formation energy (no corrections)	-978	meV/atom
D(E_F)	3.3	states/eV/f.u.

a b c (Å): 8.7253 10.5951 6.5663
angles (deg): 90.00 119.18 90.00
Space group C2/c (No. 15)
One atom of each set of equivalent atoms:
Pt1 0.0000 0.0879 0.2500 (multiplicity 4)
Au1 0.2500 0.2500 0.0000 (multiplicity 4)
F1 0.0000 0.3102 0.7500 (multiplicity 4)
F2 0.1399 0.0410 0.7012 (multiplicity 8)
F3 0.1487 0.2266 0.2308 (multiplicity 8)

---

For each record above, in turn, the calculated spin magnetization values are 0.0000; 0.1045 μB/atom.